1.
TbMg4Rh5: optimized geometry, PBE.

Lattice parameters (Å, degrees): 3.220 3.220 15.656 90.00 90.00 90.00
Space group P4/mmm (No. 123)
Symmetry-distinct sites (fractional):
Tb1 0.000 0.000 0.000
Mg1 0.000 0.000 0.213
Mg2 0.000 0.000 0.404
Rh1 0.500 0.500 0.113
Rh2 0.500 0.500 0.307
Rh3 0.500 0.500 0.500

Properties
**Total moment**: 0.00 μB/cell
**DOS(E_F)**: 7.50 states/eV/cell
**Crystal system**: tetragonal
**Energy**: -5.317 eV/atom

=====

2.
Tl4In4Sn3: optimized geometry, PBE.

Lattice parameters (Å, degrees): 17.040 5.285 7.191 90.00 101.86 90.00
Space group C2/m (No. 12)
Symmetry-distinct sites (fractional):
Tl1 0.136 0.000 0.171
Tl2 0.225 0.000 0.643
In1 0.041 0.000 0.719
In2 0.174 0.500 0.892
Sn1 0.000 0.500 0.000
Sn2 0.085 0.500 0.448

Properties
**Total moment**: 0.00 μB/cell
**DOS(E_F)**: 9.02 states/eV/cell
**Crystal system**: monoclinic
**Energy**: -2.928 eV/atom

=====

3.
K6RbNa2F: optimized geometry, PBE.

Lattice parameters (Å, degrees): 7.551 7.637 10.540 70.81 76.43 78.72
Space group P1 (No. 1)
Symmetry-distinct sites (fractional):
K1 0.000 0.000 0.000
K2 0.042 0.505 0.778
K3 0.279 0.030 0.550
K4 0.494 0.128 0.118
K5 0.537 0.641 0.922
K6 0.661 0.260 0.703
Rb1 0.896 0.416 0.257
Na1 0.326 0.614 0.362
Na2 0.820 0.838 0.448
F1 0.752 0.310 0.916

Properties
**E_form (uncorrected)**: -0.493 eV per atom
**Total moment**: 0.00 μB/cell
**DOS(E_F)**: 5.00 states/eV/cell
**Crystal system**: triclinic
**Energy**: -1.699 eV/atom

=====

4.
NaSi2Ru2: optimized geometry, PBE.

Lattice parameters (Å, degrees): 4.111 4.111 9.849 90.00 90.00 90.00
Space group I4/mmm (No. 139)
Symmetry-distinct sites (fractional):
Na1 0.000 0.000 0.000
Si1 0.000 0.000 0.372
Ru1 0.000 0.500 0.250

Properties
**E_form (uncorrected)**: -0.354 eV per atom
**Total moment**: 0.00 μB/cell
**DOS(E_F)**: 6.23 states/eV/cell
**Crystal system**: tetragonal
**Energy**: -6.498 eV/atom

=====

5.
Ba3SrZn: optimized geometry, PBE.

Lattice parameters (Å, degrees): 6.946 6.946 6.946 90.00 90.00 90.00
Space group Pm-3m (No. 221)
Symmetry-distinct sites (fractional):
Ba1 0.000 0.000 0.500
Sr1 0.000 0.000 0.000
Zn1 0.500 0.500 0.500

Properties
**Total moment**: 0.00 μB/cell
**Excess energy over the best structure of this formula in the dataset**: 3.99 eV per formula unit
**DOS(E_F)**: 14.94 states/eV/cell
**Crystal system**: cubic
**Energy**: -0.982 eV/atom

=====

6.
Al2TlTe: optimized geometry, PBE.

Lattice parameters (Å, degrees): 4.244 4.794 9.724 90.00 90.00 90.00
Space group Cmm2 (No. 35)
Symmetry-distinct sites (fractional):
Al1 0.000 0.000 0.000
Al2 0.000 0.500 0.185
Tl1 0.000 0.000 0.445
Te1 0.000 0.500 0.773

Properties
**E_form (uncorrected)**: 0.194 eV per atom
**Total moment**: 0.00 μB/cell
**Excess energy over the best structure of this formula in the dataset**: 0.57 eV per formula unit
**DOS(E_F)**: 4.90 states/eV/cell
**Crystal system**: orthorhombic
**Energy**: -3.054 eV/atom

=====

7.
DyThPaAl: optimized geometry, PBE.

Lattice parameters (Å, degrees): 7.484 7.484 7.484 90.00 90.00 90.00
Space group F-43m (No. 216)
Symmetry-distinct sites (fractional):
Dy1 0.000 0.000 0.000
Th1 0.250 0.250 0.750
Pa1 0.000 0.000 0.500
Al1 0.250 0.250 0.250

Properties
**Total moment**: 0.00 μB/cell
**DOS(E_F)**: 25.12 states/eV/cell
**Crystal system**: cubic
**Energy**: -6.157 eV/atom

=====

8.
TcSb5: optimized geometry, PBE.

Lattice parameters (Å, degrees): 4.524 4.463 15.491 90.00 90.00 90.00
Space group Amm2 (No. 38)
Symmetry-distinct sites (fractional):
Tc1 0.000 0.000 0.000
Sb1 0.000 0.000 0.382
Sb2 0.000 0.000 0.660
Sb3 0.500 0.000 0.163
Sb4 0.500 0.000 0.520
Sb5 0.500 0.000 0.881

Properties
**E_form (uncorrected)**: 0.403 eV per atom
**Total moment**: 0.00 μB/cell
**Excess energy over the best structure of this formula in the dataset**: 1.90 eV per formula unit
**DOS(E_F)**: 7.74 states/eV/cell
**Crystal system**: orthorhombic
**Energy**: -4.760 eV/atom

=====

9.
Zr2OsCl: optimized geometry, PBE.

Lattice parameters (Å, degrees): 6.822 7.364 3.082 90.00 104.55 90.00
Space group C2/m (No. 12)
Symmetry-distinct sites (fractional):
Zr1 0.250 0.250 0.000
Os1 0.000 0.000 0.500
Cl1 0.000 0.500 0.500

Properties
**E_form (uncorrected)**: -0.280 eV per atom
**Total moment**: 0.00 μB/cell
**Excess energy over the best structure of this formula in the dataset**: 1.60 eV per formula unit
**DOS(E_F)**: 6.13 states/eV/cell
**Crystal system**: monoclinic
**Energy**: -7.823 eV/atom

=====

10.
RbNpOsO6: optimized geometry, PBE.

Lattice parameters (Å, degrees): 7.297 7.807 10.669 90.00 90.00 90.00
Space group Imma (No. 74)
Symmetry-distinct sites (fractional):
Rb1 0.000 0.250 0.115
Np1 0.000 0.000 0.500
Os1 0.250 0.250 0.750
O1 0.000 0.250 0.423
O2 0.000 0.250 0.789
O3 0.206 0.072 0.623

Properties
**E_form (uncorrected)**: -1.973 eV per atom
**Total moment**: 7.59 μB/cell
**DOS(E_F)**: 24.14 states/eV/cell
**Crystal system**: orthorhombic
**Energy**: -8.072 eV/atom

=====

11.
Lu3Fe2Si3: optimized geometry, PBE.

Lattice parameters (Å, degrees): 4.040 10.238 13.328 90.00 90.00 90.00
Space group Cmcm (No. 63)
Symmetry-distinct sites (fractional):
Lu1 0.000 0.081 0.112
Lu2 0.000 0.364 0.250
Fe1 0.000 0.214 0.581
Si1 0.000 0.326 0.750
Si2 0.000 0.378 0.039

Properties
**E_form (uncorrected)**: -0.710 eV per atom
**Total moment**: 0.00 μB/cell
**DOS(E_F)**: 14.26 states/eV/cell
**Crystal system**: orthorhombic
**Energy**: -6.554 eV/atom

=====

12.
La6In2CoRh: optimized geometry, PBE.

Lattice parameters (Å, degrees): 7.550 7.560 7.711 119.24 119.02 90.15
Space group P-1 (No. 2)
Symmetry-distinct sites (fractional):
La1 0.186 0.200 0.491
La2 0.245 0.737 0.996
La3 0.303 0.697 0.513
In1 0.249 0.251 0.000
Co1 0.000 0.500 0.500
Rh1 0.500 0.000 0.500

Properties
**Total moment**: 0.00 μB/cell
**DOS(E_F)**: 9.65 states/eV/cell
**Crystal system**: triclinic
**Energy**: -5.333 eV/atom